Record 1
ScSbTe: optimized geometry, PBE.

extended XYZ file:
```
6
Lattice="1.9904 1.1491 13.5471 -1.9904 1.1491 13.5471 0.0000 -2.2983 13.5471" Properties=species:S:1:pos:R:3 pbc="T T T"
Sc 0.0000 0.0000 3.2157
Sc 0.0000 0.0000 37.4257
Sb 0.0000 0.0000 14.5736
Sb 0.0000 0.0000 26.0677
Te 0.0000 0.0000 8.7170
Te 0.0000 0.0000 31.9243
```

Output
E_form (uncorrected) in eV/atom: -0.613
Energy in eV for the cell shown: -30.9
Crystal system: trigonal

Record 2
Sc2Sb2Te: optimized geometry, PBE.

extended XYZ file:
```
10
Lattice="5.4272 0.0000 0.0000 0.0000 5.4272 0.0000 0.0000 0.0000 9.6193" Properties=species:S:1:pos:R:3 pbc="T T T"
Sc 0.0000 2.7136 2.4048
Sc 0.0000 2.7136 7.2145
Sc 2.7136 0.0000 2.4048
Sc 2.7136 0.0000 7.2145
Sb 0.0000 0.0000 1.4091
Sb 0.0000 0.0000 8.2102
Sb 2.7136 2.7136 3.4005
Sb 2.7136 2.7136 6.2188
Te 0.0000 0.0000 4.8096
Te 2.7136 2.7136 0.0000
```

Output
E above lowest polymorph in eV per atom: 0.1048
E_form (uncorrected) in eV/atom: -0.620
Energy in eV for the cell shown: -54.3
Crystal system: tetragonal

The highest energy belongs to which entry?
ScSbTe